[1]
# MgTaNbMo (PBE, relaxed)
# - total moment (μB per formula unit) = 0.00
# - total energy (eV/atom) = -8.36
# - polymorph energy (0 for the lowest one) (meV per atom) = 0.0
data_MgTaNbMo
_space_group_name_H-M_alt 'F -4 3 m'
_space_group_IT_number 216
_space_group_name_Hall 'F -4 2 3'
_cell_length_a 6.5597
_cell_length_b 6.5597
_cell_length_c 6.5597
_cell_angle_alpha 90.00
_cell_angle_beta 90.00
_cell_angle_gamma 90.00
loop_
_atom_site_label
_atom_site_type_symbol
_atom_site_fract_x
_atom_site_fract_y
_atom_site_fract_z
Mg1 Mg 0.0000 0.0000 0.0000
Ta1 Ta 0.2500 0.2500 0.7500
Nb1 Nb 0.2500 0.2500 0.2500
Mo1 Mo 0.0000 0.0000 0.5000

---

[2]
# MgNiSbMo (PBE, relaxed)
# - total moment (μB per formula unit) = 0.00
# - total energy (eV/atom) = -5.35
# - polymorph energy (0 for the lowest one) (meV per atom) = 0.0
data_MgNiSbMo
_space_group_name_H-M_alt 'F -4 3 m'
_space_group_IT_number 216
_space_group_name_Hall 'F -4 2 3'
_cell_length_a 6.3791
_cell_length_b 6.3791
_cell_length_c 6.3791
_cell_angle_alpha 90.00
_cell_angle_beta 90.00
_cell_angle_gamma 90.00
loop_
_atom_site_label
_atom_site_type_symbol
_atom_site_fract_x
_atom_site_fract_y
_atom_site_fract_z
Mg1 Mg 0.0000 0.0000 0.0000
Ni1 Ni 0.2500 0.2500 0.7500
Sb1 Sb 0.0000 0.0000 0.5000
Mo1 Mo 0.2500 0.2500 0.2500

---

[3]
# MgTlNiMo (PBE, relaxed)
# - total moment (μB per formula unit) = 2.58
# - total energy (eV/atom) = -4.56
# - polymorph energy (0 for the lowest one) (meV per atom) = 0.0
data_MgTlNiMo
_space_group_name_H-M_alt 'F -4 3 m'
_space_group_IT_number 216
_space_group_name_Hall 'F -4 2 3'
_cell_length_a 6.4317
_cell_length_b 6.4317
_cell_length_c 6.4317
_cell_angle_alpha 90.00
_cell_angle_beta 90.00
_cell_angle_gamma 90.00
loop_
_atom_site_label
_atom_site_type_symbol
_atom_site_fract_x
_atom_site_fract_y
_atom_site_fract_z
Mg1 Mg 0.0000 0.0000 0.0000
Tl1 Tl 0.2500 0.2500 0.2500
Ni1 Ni 0.0000 0.0000 0.5000
Mo1 Mo 0.2500 0.2500 0.7500

---

[4]
# Mg2MoOs (PBE, relaxed)
# - total moment (μB per formula unit) = 0.00
# - total energy (eV/atom) = -6.23
data_Mg2MoOs
_space_group_name_H-M_alt 'F -4 3 m'
_space_group_IT_number 216
_space_group_name_Hall 'F -4 2 3'
_cell_length_a 6.3099
_cell_length_b 6.3099
_cell_length_c 6.3099
_cell_angle_alpha 90.00
_cell_angle_beta 90.00
_cell_angle_gamma 90.00
loop_
_atom_site_label
_atom_site_type_symbol
_atom_site_fract_x
_atom_site_fract_y
_atom_site_fract_z
Mg1 Mg 0.0000 0.0000 0.0000
Mg2 Mg 0.2500 0.2500 0.2500
Mo1 Mo 0.2500 0.2500 0.7500
Os1 Os 0.0000 0.0000 0.5000

---

[5]
# SrMgMoOs (PBE, relaxed)
# - total moment (μB per formula unit) = 0.03
# - total energy (eV/atom) = -5.55
# - polymorph energy (0 for the lowest one) (meV per atom) = 106.0
data_SrMgMoOs
_space_group_name_H-M_alt 'F -4 3 m'
_space_group_IT_number 216
_space_group_name_Hall 'F -4 2 3'
_cell_length_a 6.7797
_cell_length_b 6.7797
_cell_length_c 6.7797
_cell_angle_alpha 90.00
_cell_angle_beta 90.00
_cell_angle_gamma 90.00
loop_
_atom_site_label
_atom_site_type_symbol
_atom_site_fract_x
_atom_site_fract_y
_atom_site_fract_z
Sr1 Sr 0.0000 0.0000 0.0000
Mg1 Mg 0.2500 0.2500 0.7500
Mo1 Mo 0.0000 0.0000 0.5000
Os1 Os 0.2500 0.2500 0.2500

---

[6]
# SrMgMoOs (PBE, relaxed)
# - total moment (μB per formula unit) = 0.00
# - total energy (eV/atom) = -5.65
# - polymorph energy (0 for the lowest one) (meV per atom) = 0.0
data_SrMgMoOs
_space_group_name_H-M_alt 'F -4 3 m'
_space_group_IT_number 216
_space_group_name_Hall 'F -4 2 3'
_cell_length_a 6.6996
_cell_length_b 6.6996
_cell_length_c 6.6996
_cell_angle_alpha 90.00
_cell_angle_beta 90.00
_cell_angle_gamma 90.00
loop_
_atom_site_label
_atom_site_type_symbol
_atom_site_fract_x
_atom_site_fract_y
_atom_site_fract_z
Sr1 Sr 0.0000 0.0000 0.0000
Mg1 Mg 0.2500 0.2500 0.7500
Mo1 Mo 0.2500 0.2500 0.2500
Os1 Os 0.0000 0.0000 0.5000

---

[7]
# SrMgMoOs (PBE, relaxed)
# - total moment (μB per formula unit) = 3.18
# - total energy (eV/atom) = -5.15
# - polymorph energy (0 for the lowest one) (meV per atom) = 503.4
data_SrMgMoOs
_space_group_name_H-M_alt 'F -4 3 m'
_space_group_IT_number 216
_space_group_name_Hall 'F -4 2 3'
_cell_length_a 6.8578
_cell_length_b 6.8578
_cell_length_c 6.8578
_cell_angle_alpha 90.00
_cell_angle_beta 90.00
_cell_angle_gamma 90.00
loop_
_atom_site_label
_atom_site_type_symbol
_atom_site_fract_x
_atom_site_fract_y
_atom_site_fract_z
Sr1 Sr 0.0000 0.0000 0.0000
Mg1 Mg 0.0000 0.0000 0.5000
Mo1 Mo 0.2500 0.2500 0.7500
Os1 Os 0.2500 0.2500 0.2500

---

[8]
# Mg2SiMoP4 (PBE, relaxed)
# - total moment (μB per formula unit) = 0.43
# - total energy (eV/atom) = -5.34
data_Mg2SiMoP4
_space_group_name_H-M_alt 'I -4'
_space_group_IT_number 82
_space_group_name_Hall 'I -4'
_cell_length_a 5.7085
_cell_length_b 5.7085
_cell_length_c 10.8379
_cell_angle_alpha 90.00
_cell_angle_beta 90.00
_cell_angle_gamma 90.00
loop_
_atom_site_label
_atom_site_type_symbol
_atom_site_fract_x
_atom_site_fract_y
_atom_site_fract_z
Mg1 Mg 0.0000 0.0000 0.0000
Mg2 Mg 0.0000 0.5000 0.2500
Si1 Si 0.0000 0.5000 0.7500
Mo1 Mo 0.0000 0.0000 0.5000
P1 P 0.2099 0.7448 0.6264

---

> Look up the total energy of the seventh one.

-5.15 eV/atom